[1]
# Nb2V4Fe

Nb2V4Fe after structural relaxation (PBE-GGA, the Alexandria database).

The space group is I4/mmm (139). Its calculated formation energy is 808 meV per atom. For the magnetic moment, the calculation gives 0.00 μB/cell.

Cell: 4.2489 4.2489 7.1151 Å, 72.63 72.63 90.00°
Last column: nearest neighbours and their distance in Å.
Fractional coordinates of all 7 atoms:
1 Fe 0.0000 0.0000 0.0000  6 V 2.12-2.27
2 V 0.1762 0.1762 0.6475  1 Fe 2.27, 1 Nb 2.49
3 V 0.0000 0.5000 0.0000  2 Fe 2.12
4 V 0.8238 0.8238 0.3525  1 Fe 2.27, 1 Nb 2.49
5 Nb 0.3691 0.3691 0.2618  5 V 2.49-2.71
6 Nb 0.6309 0.6309 0.7382  5 V 2.49-2.71
7 V 0.5000 0.0000 0.0000  2 Fe 2.12

***

[2]
# NbV4Fe

NbV4Fe after structural relaxation (PBE-GGA, the Alexandria database).

The space group is Pmma (51). Its calculated formation energy is 31 meV per atom. For the magnetic moment, the calculation gives 0.00 μB/cell.

Cell: 2.8456 6.9331 8.4811 Å, 90.00 90.00 90.00°
Last column: nearest neighbours and their distance in Å.
Fractional coordinates of all 12 atoms:
1 Nb 0.0000 0.3747 0.2500  1 Fe 2.58, 6 V 2.78-2.82, 2 Nb 2.85
2 V 0.5000 0.9694 0.7500  2 Fe 2.43, 4 V 2.56
3 Fe 0.0000 0.2527 0.7500  6 V 2.37-2.43, 1 Nb 2.58
4 V 0.5000 0.6754 0.0346  2 Fe 2.37, 1 V 2.50
5 V 0.5000 0.6754 0.4654  2 Fe 2.37, 1 V 2.50
6 V 0.0000 0.0000 0.5000  10 V 2.56-2.85, 2 Fe 2.75
7 V 0.0000 0.0000 0.0000  10 V 2.56-2.85, 2 Fe 2.75
8 V 0.5000 0.0306 0.2500  2 Fe 2.43, 4 V 2.56
9 V 0.5000 0.3246 0.9654  2 Fe 2.37, 1 V 2.50
10 Fe 0.0000 0.7473 0.2500  6 V 2.37-2.43, 1 Nb 2.58
11 V 0.5000 0.3246 0.5346  2 Fe 2.37, 1 V 2.50
12 Nb 0.0000 0.6253 0.7500  1 Fe 2.58, 6 V 2.78-2.82, 2 Nb 2.85

***

[3]
# NbVFe

NbVFe after structural relaxation (PBE-GGA, the Alexandria database).

The space group is P3m1 (156). The calculation puts the energy above the most stable polymorph in this dataset at 0.240 eV/atom. Its calculated formation energy is 81 meV per atom. For the magnetic moment, the calculation gives 0.01 μB/cell.

Cell: 2.7285 4.2139 4.2139 Å, 120.00 90.00 90.00°
Last column: nearest neighbours and their distance in Å.
Fractional coordinates of all 3 atoms:
1 V 0.6560 0.6667 0.3333  3 Fe 2.58, 3 Nb 2.61, 2 V 2.73
2 Fe 0.3410 0.3333 0.6667  3 V 2.58, 3 Nb 2.60, 2 Fe 2.73
3 Nb 0.0030 0.0000 0.0000  3 Fe 2.60, 3 V 2.61, 2 Nb 2.73

***

[4]
# NbV4Fe2

NbV4Fe2 after structural relaxation (PBE-GGA, the Alexandria database).

The space group is I4/mmm (139). Its calculated formation energy is 1210 meV per atom. For the magnetic moment, the calculation gives 1.78 μB/cell.

Cell: 4.5346 4.5346 6.7608 Å, 70.41 70.41 90.00°
Last column: nearest neighbours and their distance in Å.
Fractional coordinates of all 7 atoms:
1 V 0.0000 0.5000 0.0000  2 Nb 2.27
2 Fe 0.6075 0.6075 0.7849  1 V 2.14
3 V 0.2124 0.2124 0.5751  1 Fe 2.14
4 V 0.5000 0.0000 0.0000  2 Nb 2.27
5 Fe 0.3925 0.3925 0.2151  1 V 2.14
6 V 0.7876 0.7876 0.4249  1 Fe 2.14
7 Nb 0.0000 0.0000 0.0000  6 V 2.27-2.53

***

[5]
# Nb2V2Fe

Nb2V2Fe after structural relaxation (PBE-GGA, the Alexandria database).

The space group is I4/mmm (139). The calculation puts the energy above the most stable polymorph in this dataset at 0.625 eV/atom. Its calculated formation energy is 816 meV per atom. For the magnetic moment, the calculation gives 2.87 μB/cell.

Cell: 3.7024 3.7024 6.7361 Å, 74.05 74.05 90.00°
Last column: nearest neighbours and their distance in Å.
Fractional coordinates of all 5 atoms:
1 Nb 0.2500 0.7500 0.5000  4 Nb 2.62, 4 V 2.84
2 Fe 0.0000 0.0000 0.0000  8 V 2.79
3 V 0.5767 0.5767 0.8466  1 V 1.90
4 V 0.4233 0.4233 0.1534  1 V 1.90
5 Nb 0.7500 0.2500 0.5000  4 Nb 2.62, 4 V 2.84

***

[6]
# NbV3Fe

NbV3Fe after structural relaxation (PBE-GGA, the Alexandria database).

The space group is Pm-3m (221). The calculation puts the energy above the most stable polymorph in this dataset at 0.178 eV/atom. Its calculated formation energy is 668 meV per atom. For the magnetic moment, the calculation gives 1.46 μB/cell.

Cell: 4.2931 4.2931 4.2931 Å, 90.00 90.00 90.00°
Last column: nearest neighbours and their distance in Å.
Fractional coordinates of all 5 atoms:
1 Fe 0.0000 0.0000 0.0000  6 V 2.15
2 V 0.0000 0.5000 0.0000  2 Fe 2.15
3 V 0.5000 0.0000 0.0000  2 Fe 2.15
4 V 0.0000 0.0000 0.5000  2 Fe 2.15
5 Nb 0.5000 0.5000 0.5000  12 V 3.04

***

[7]
# Nb2V2Fe

Nb2V2Fe after structural relaxation (PBE-GGA, the Alexandria database).

The space group is P4/mbm (127). The calculation puts the energy above the most stable polymorph in this dataset at 0.000 eV/atom. Its calculated formation energy is 191 meV per atom. For the magnetic moment, the calculation gives 0.00 μB/cell.

Cell: 6.0280 6.0280 4.2191 Å, 90.00 90.00 90.00°
Last column: nearest neighbours and their distance in Å.
Fractional coordinates of all 10 atoms:
1 Fe 0.5000 0.5000 0.0000  4 V 2.30
2 V 0.6488 0.1488 0.0000  2 Fe 2.30, 1 V 2.54
3 Nb 0.6743 0.8257 0.5000  6 V 2.59-2.88
4 Fe 0.0000 0.0000 0.0000  4 V 2.30
5 Nb 0.1743 0.6743 0.5000  6 V 2.59-2.88
6 V 0.1488 0.3512 0.0000  2 Fe 2.30, 1 V 2.54
7 V 0.3512 0.8512 0.0000  2 Fe 2.30, 1 V 2.54
8 Nb 0.8257 0.3257 0.5000  6 V 2.59-2.88
9 Nb 0.3257 0.1743 0.5000  6 V 2.59-2.88
10 V 0.8512 0.6488 0.0000  2 Fe 2.30, 1 V 2.54

***

[8]
# NbV2Fe4

NbV2Fe4 after structural relaxation (PBE-GGA, the Alexandria database).

The space group is I4/mmm (139). Its calculated formation energy is 1171 meV per atom. For the magnetic moment, the calculation gives 2.64 μB/cell.

Cell: 4.3479 4.3479 6.9012 Å, 71.64 71.64 90.00°
Last column: nearest neighbours and their distance in Å.
Fractional coordinates of all 7 atoms:
1 Nb 0.0000 0.0000 0.0000  4 Fe 2.17
2 Fe 0.2065 0.2065 0.5871  1 V 2.18
3 Fe 0.0000 0.5000 0.0000  2 Nb 2.17
4 V 0.3830 0.3830 0.2339  1 Fe 2.18
5 Fe 0.5000 0.0000 0.0000  2 Nb 2.17
6 V 0.6170 0.6170 0.7661  1 Fe 2.18
7 Fe 0.7935 0.7935 0.4129  1 V 2.18